Here is a relaxed structure of HfMn2AuF from Alexandria via LeMat-Bulk. Energies are from PBE+U.

```
data_HfMn2AuF
_cell_length_a 5.532
_cell_length_b 5.532
_cell_length_c 3.982
_cell_angle_alpha 90.00
_cell_angle_beta 90.00
_cell_angle_gamma 90.00
_symmetry_space_group_name_H-M 'P 4/m m m'
_symmetry_Int_Tables_number 123
_symmetry_space_group_name_Hall '-P 4 2'
loop_
_atom_site_label
_atom_site_type_symbol
_atom_site_fract_x
_atom_site_fract_y
_atom_site_fract_z
Hf1 Hf 0.000 0.000 0.000
Mn1 Mn 0.000 0.500 0.000
Au1 Au 0.500 0.500 0.500
F1 F 0.000 0.000 0.500
```

## Properties
V ... 122 Å³/cell
VASP energy ... -29.49 eV per formula unit